[1]
# ThGaNi GGA-PBE optimized geometry
data_ThGaNi
_cell_length_a 6.9415
_cell_length_b 6.3057
_cell_length_c 6.2978
_cell_angle_alpha 90.00
_cell_angle_beta 90.00
_cell_angle_gamma 90.00
_space_group_name_H-M_alt 'A m a 2'
_space_group_IT_number 40
_space_group_name_Hall 'A 2 -2a'
loop_
_atom_site_label
_atom_site_type_symbol
_atom_site_fract_x
_atom_site_fract_y
_atom_site_fract_z
Th1 Th 0.0000 0.0000 0.0000
Ga1 Ga 0.2500 0.0006 0.5005
Ni1 Ni 0.2500 0.2498 0.2498
# Total moment   0.0 Bohr magnetons per cell
# ΔE_f   -0.290 eV/atom
# Calculated volume   23.0 Å³ per atom
# Final energy   -68.396 eV per cell


[2]
# KIrOs GGA-PBE optimized geometry
data_KIrOs
_cell_length_a 4.9364
_cell_length_b 4.9364
_cell_length_c 2.6099
_cell_angle_alpha 90.00
_cell_angle_beta 90.00
_cell_angle_gamma 120.00
_space_group_name_H-M_alt 'P -6 m 2'
_space_group_IT_number 187
_space_group_name_Hall 'P -6 2'
loop_
_atom_site_label
_atom_site_type_symbol
_atom_site_fract_x
_atom_site_fract_y
_atom_site_fract_z
K1 K 0.0000 0.0000 0.0000
Ir1 Ir 0.3333 0.6667 0.5000
Os1 Os 0.6667 0.3333 0.5000
# Total moment   0.8 Bohr magnetons per cell
# ΔE_f   1.411 eV/atom
# Calculated volume   18.4 Å³ per atom
# Final energy   -16.955 eV per cell


[3]
# CeCu2Sn2 GGA-PBE optimized geometry
data_CeCu2Sn2
_cell_length_a 4.4892
_cell_length_b 4.4892
_cell_length_c 10.5589
_cell_angle_alpha 90.00
_cell_angle_beta 90.00
_cell_angle_gamma 90.00
_space_group_name_H-M_alt 'P 4/n m m'
_space_group_IT_number 129
loop_
_space_group_symop_operation_xyz
'x,y,z'
'-x,-y,-z'
'-y+1/2,x,z'
'y+1/2,-x,-z'
'-x+1/2,-y+1/2,z'
'x+1/2,y+1/2,-z'
'y,-x+1/2,z'
'-y,x+1/2,-z'
'x+1/2,-y,-z'
'-x+1/2,y,z'
'-y,-x,-z'
'y,x,z'
'-x,y+1/2,-z'
'x,-y+1/2,z'
'y+1/2,x+1/2,-z'
'-y+1/2,-x+1/2,z'
loop_
_atom_site_label
_atom_site_type_symbol
_atom_site_fract_x
_atom_site_fract_y
_atom_site_fract_z
Ce1 Ce 0.2500 0.2500 0.2370
Cu1 Cu 0.2500 0.2500 0.6341
Cu2 Cu 0.2500 0.7500 0.0000
Sn1 Sn 0.2500 0.2500 0.8723
Sn2 Sn 0.2500 0.7500 0.5000
# Total moment   1.6 Bohr magnetons per cell
# ΔE_f   -0.369 eV/atom
# Calculated volume   21.3 Å³ per atom
# Final energy   -47.954 eV per cell


[4]
# YIn2Ru GGA-PBE optimized geometry
data_YIn2Ru
_cell_length_a 4.3266
_cell_length_b 3.4924
_cell_length_c 6.6565
_cell_angle_alpha 90.00
_cell_angle_beta 108.75
_cell_angle_gamma 90.00
_space_group_name_H-M_alt 'P 1 m 1'
_space_group_IT_number 6
_space_group_name_Hall 'P -2y'
loop_
_atom_site_label
_atom_site_type_symbol
_atom_site_fract_x
_atom_site_fract_y
_atom_site_fract_z
Y1 Y 0.0000 0.0000 0.0000
In1 In 0.3328 0.5000 0.6667
In2 In 0.7168 0.0000 0.4320
Ru1 Ru 0.5469 0.5000 0.0950
# Total moment   0.0 Bohr magnetons per cell
# ΔE_f   -0.155 eV/atom
# Calculated volume   23.8 Å³ per atom
# Final energy   -21.835 eV per cell